--- A ---
VASP calculation (PBEsol) on a relaxed BaSr2Bi2 crystal.

## Properties
DOS at the Fermi energy ... 2.63 states/eV/cell
Crystal system ... tetragonal
SG ... No. 139

Unit cell a=7.1392 b=7.1392 c=7.1392 alpha=128.31 beta=128.31 gamma=76.13
With the nearest neighbours (Å) after each atom.
Element x y z (fractional)
Ba1 0.0000 0.0000 0.0000  2 Sr 3.71
Sr1 0.3301 0.3301 0.0000  4 Bi 3.24
Sr2 0.6699 0.6699 0.0000  4 Bi 3.24
Bi1 0.2500 0.7500 0.5000  4 Sr 3.24
Bi2 0.7500 0.2500 0.5000  4 Sr 3.24

---

--- B ---
VASP calculation (PBEsol) on a relaxed BaSr2Bi2 crystal.

## Properties
DOS at the Fermi energy ... 3.67 states/eV/cell
Crystal system ... tetragonal
SG ... No. 127

Unit cell a=9.4794 b=9.4794 c=4.2950 alpha=90.00 beta=90.00 gamma=90.00
With the nearest neighbours (Å) after each atom.
Element x y z (fractional)
Ba1 0.0000 0.0000 0.0000  4 Bi 3.55
Ba2 0.5000 0.5000 0.0000  4 Bi 3.55
Sr1 0.1370 0.3630 0.5000  6 Bi 3.44-3.57, 1 Sr 3.67
Sr2 0.3630 0.8630 0.5000  6 Bi 3.44-3.57, 1 Sr 3.67
Sr3 0.6370 0.1370 0.5000  6 Bi 3.44-3.57, 1 Sr 3.67
Sr4 0.8630 0.6370 0.5000  6 Bi 3.44-3.57, 1 Sr 3.67
Bi1 0.1629 0.6629 0.0000  6 Sr 3.44-3.57, 2 Ba 3.55
Bi2 0.3371 0.1629 0.0000  6 Sr 3.44-3.57, 2 Ba 3.55
Bi3 0.6629 0.8371 0.0000  6 Sr 3.44-3.57, 2 Ba 3.55
Bi4 0.8371 0.3371 0.0000  6 Sr 3.44-3.57, 2 Ba 3.55

---

Which one sits at the bottom of the stability order? A does.

---

--- A ---
VASP calculation (PBEsol) on a relaxed Ba2Br crystal.

## Properties
DOS at the Fermi energy ... 7.31 states/eV/cell
Crystal system ... orthorhombic
SG ... No. 63

Unit cell a=9.3824 b=9.3824 c=6.7341 alpha=90.00 beta=90.00 gamma=153.11
With the nearest neighbours (Å) after each atom.
Element x y z (fractional)
Ba1 0.0583 0.9417 0.7500  2 Br 3.36
Ba2 0.3385 0.6615 0.7500  4 Br 3.36-3.43
Ba3 0.6615 0.3385 0.2500  4 Br 3.36-3.43
Ba4 0.9417 0.0583 0.2500  2 Br 3.36
Br1 0.3015 0.6985 0.2500  6 Ba 3.36-3.43
Br2 0.6985 0.3015 0.7500  6 Ba 3.36-3.43

---

--- B ---
VASP calculation (PBEsol) on a relaxed Ba2Br crystal.

## Properties
DOS at the Fermi energy ... 6.67 states/eV/cell
Crystal system ... orthorhombic
SG ... No. 63

Unit cell a=10.6855 b=10.6855 c=5.6834 alpha=90.00 beta=90.00 gamma=158.69
With the nearest neighbours (Å) after each atom.
Element x y z (fractional)
Ba1 0.0756 0.9244 0.7500  6 Br 3.48
Ba2 0.2079 0.7921 0.2500  2 Br 3.67, 8 Ba 3.89-3.97
Ba3 0.7921 0.2079 0.7500  2 Br 3.67, 8 Ba 3.89-3.97
Ba4 0.9244 0.0756 0.2500  6 Br 3.48
Br1 0.4394 0.5606 0.7500  8 Ba 3.48-3.67, 2 Br 3.82
Br2 0.5606 0.4394 0.2500  8 Ba 3.48-3.67, 2 Br 3.82

---

Which one sits at the bottom of the stability order? B does.

---

--- A ---
VASP calculation (PBEsol) on a relaxed Ba3Br crystal.

## Properties
DOS at the Fermi energy ... 5.37 states/eV/cell
Crystal system ... hexagonal
SG ... No. 187

Unit cell a=4.3144 b=4.3144 c=12.0033 alpha=90.00 beta=90.00 gamma=120.00
With the nearest neighbours (Å) after each atom.
Element x y z (fractional)
Ba1 0.0000 0.0000 0.0000  12 Ba 4.31-4.38
Ba2 0.6667 0.3333 0.2998  3 Br 3.46
Ba3 0.6667 0.3333 0.7002  3 Br 3.46
Br1 0.0000 0.0000 0.5000  6 Ba 3.46

---

--- B ---
VASP calculation (PBEsol) on a relaxed Ba3Br crystal.

## Properties
DOS at the Fermi energy ... 5.19 states/eV/cell
Crystal system ... trigonal
SG ... No. 166

Unit cell a=12.1215 b=12.1215 c=12.1215 alpha=20.76 beta=20.76 gamma=20.76
With the nearest neighbours (Å) after each atom.
Element x y z (fractional)
Ba1 0.0000 0.0000 0.0000  12 Ba 4.37-4.44
Ba2 0.2306 0.2306 0.2306  3 Br 3.39
Ba3 0.7694 0.7694 0.7694  3 Br 3.39
Br1 0.5000 0.5000 0.5000  6 Ba 3.39

---

Which one sits at the bottom of the stability order? A does.